# Y2CoO

Y2CoO after structural relaxation (GGA+U, Alexandria).

a b c (Å): 6.2669 6.2669 6.0099
angles (deg): 58.57 58.57 90.00
Positions (direct):
O (0.5000, 0.5000, 0.0000)
O (0.2500, 0.7500, 0.5000)
Y (0.3750, 0.4238, 0.7500)
Y (0.8750, 0.8262, 0.7500)
Y (0.1738, 0.6250, 0.2500)
Y (0.5762, 0.1250, 0.2500)
Co (0.7500, 0.2500, 0.5000)
Co (0.0000, 0.0000, 0.0000)

Output
size of the total moment: 0.000 μB/cell
DFT total energy: -6.6949 eV per atom